# MoSNO2, relaxed, DFT PBE with a Hubbard U
# calculated volume	10.89	A^3/atom
# total DFT energy (no corrections)	-5.403	eV per atom
# total magnetic moment	3.1	μB per cell
# DOS(E_F)	0.90	states/eV/f.u.
data_MoSNO2
_chemical_formula_sum 'Mo1 S1 N1 O2'
_symmetry_space_group_name_H-M 'P 4/m m m'
_symmetry_Int_Tables_number 123
_symmetry_space_group_name_Hall '-P 4 2'
_cell_length_a 3.552
_cell_length_b 3.552
_cell_length_c 4.316
_cell_angle_alpha 90.00
_cell_angle_beta 90.00
_cell_angle_gamma 90.00
loop_
_atom_site_label
_atom_site_fract_x
_atom_site_fract_y
_atom_site_fract_z
Mo1 0.000 0.000 0.000
S1 0.500 0.500 0.500
N1 0.500 0.500 0.000
O1 0.000 0.500 0.500